1.
meta-GGA SCAN Cu3OsBr, PBEsol geometry; uncorrected formation energy = 31.9 kcal/mol of atoms; DOS at the Fermi energy = 2.4 states/eV/cell; energy = -26.00 eV per atom; crystal system = cubic
1.0
-0.166 -2.394 -3.968
1.019 -3.893 2.306
-4.521 -0.790 0.665
Cu Br Os
3 1 1
Cartesian
0.509 -1.946 1.153
-0.083 -1.197 -1.984
-2.261 -0.395 0.333
-1.834 -3.538 -0.499
0.000 0.000 0.000

=====

2.
meta-GGA SCAN Cu2OsBr, PBEsol geometry; energy above the lowest structure with this stoichiometry = 0.000 eV per atom; uncorrected formation energy = 16.1 kcal/mol of atoms; DOS at the Fermi energy = 3.6 states/eV/cell; energy = -29.74 eV per atom; crystal system = orthorhombic
1.0
-1.561 -1.348 1.945
2.743 0.768 2.734
-3.340 5.389 -1.013
Os Cu Br
1 2 1
Cartesian
-2.666 4.945 1.286
-0.226 0.418 0.109
0.470 2.056 1.802
-2.486 2.488 1.795

=====

3.
meta-GGA SCAN Cu2OsBr, PBEsol geometry; energy above the lowest structure with this stoichiometry = 0.428 eV per atom; uncorrected formation energy = 25.9 kcal/mol of atoms; DOS at the Fermi energy = 4.6 states/eV/cell; energy = -29.31 eV per atom; crystal system = tetragonal
1.0
2.948 0.000 0.000
0.000 4.403 0.000
0.000 0.000 4.403
Cu Os Br
2 1 1
Cartesian
0.000 0.000 2.202
0.000 2.202 0.000
1.474 2.202 2.202
1.474 0.000 0.000

=====

4.
meta-GGA SCAN Cu2OsBr, PBEsol geometry; energy above the lowest structure with this stoichiometry = 0.210 eV per atom; uncorrected formation energy = 20.9 kcal/mol of atoms; DOS at the Fermi energy = 3.9 states/eV/cell; energy = -29.53 eV per atom; crystal system = tetragonal
1.0
-1.297 -2.652 -0.535
2.705 -1.263 -0.301
0.088 -1.322 6.339
Os Cu Br
1 2 1
Cartesian
0.041 -0.614 2.946
0.005 -0.070 0.335
0.725 -2.282 1.142
0.769 -2.931 4.251

=====

5.
meta-GGA SCAN CuPBr, PBEsol geometry; energy above the lowest structure with this stoichiometry = 0.000 eV per atom; uncorrected formation energy = 3.0 kcal/mol of atoms; DOS at the Fermi energy = 1.0 states/eV/cell; energy = -14.89 eV per atom; crystal system = tetragonal
1.0
3.352 0.000 0.000
0.000 3.352 0.000
-1.676 -1.676 5.212
Cu Br P
1 1 1
Cartesian
1.676 1.676 2.691
0.000 0.000 0.109
0.000 0.000 2.412

=====

6.
meta-GGA SCAN CuP2Br, PBEsol geometry; energy above the lowest structure with this stoichiometry = 0.000 eV per atom; uncorrected formation energy = 0.2 kcal/mol of atoms; DOS at the Fermi energy = 1.3 states/eV/cell; energy = -13.86 eV per atom; crystal system = monoclinic
1.0
-2.681 -1.340 -1.474
-0.454 -2.568 3.161
-2.093 4.575 3.432
Br P Cu
1 2 1
Cartesian
-1.567 -1.954 0.844
-3.441 1.710 0.921
-1.786 -1.043 4.199
0.000 0.000 0.000

=====

7.
meta-GGA SCAN CuPBr, PBEsol geometry; energy above the lowest structure with this stoichiometry = 0.159 eV per atom; uncorrected formation energy = 6.6 kcal/mol of atoms; DOS at the Fermi energy = 1.9 states/eV/cell; energy = -14.73 eV per atom; crystal system = trigonal
1.0
-1.100 -2.801 1.787
3.335 0.214 -1.039
1.186 2.260 4.272
Cu Br P
1 1 1
Cartesian
2.607 0.638 2.605
1.143 2.178 4.116
0.858 -0.883 2.571

=====

8.
meta-GGA SCAN CuPBr, PBEsol geometry; energy above the lowest structure with this stoichiometry = 1.192 eV per atom; uncorrected formation energy = 30.5 kcal/mol of atoms; DOS at the Fermi energy = 1.8 states/eV/cell; energy = -13.70 eV per atom; crystal system = cubic
1.0
-1.209 -1.676 3.873
-1.876 -3.964 0.187
2.202 -3.392 1.707
Cu Br P
1 1 1
Cartesian
0.000 0.000 0.000
-0.221 -2.258 1.442
-0.442 -4.516 2.884

=====

9.
meta-GGA SCAN CuP2Br, PBEsol geometry; energy above the lowest structure with this stoichiometry = 0.536 eV per atom; uncorrected formation energy = 12.5 kcal/mol of atoms; DOS at the Fermi energy = 2.3 states/eV/cell; energy = -13.32 eV per atom; crystal system = orthorhombic
1.0
-1.537 0.408 1.866
-4.902 -3.261 -1.713
-0.977 -5.694 2.053
Cu Br P
1 1 2
Cartesian
-2.939 -4.478 0.170
-0.768 0.204 0.933
-4.534 -6.056 0.812
-2.881 -2.490 1.393

=====

10.
meta-GGA SCAN CuP4S3Br, PBEsol geometry; energy above the lowest structure with this stoichiometry = 0.005 eV per atom; uncorrected formation energy = -5.7 kcal/mol of atoms; DOS at the Fermi energy = 0.0 states/eV/cell; energy = -11.93 eV per atom; crystal system = orthorhombic
1.0
-5.288 -1.172 5.230
-1.850 -9.069 -3.904
10.141 -3.784 3.985
Br S P Cu
4 12 16 4
Cartesian
5.574 -11.483 3.061
-2.571 -2.543 2.250
3.157 -10.956 6.155
-0.155 -3.070 -0.844
1.684 -9.285 -0.379
0.069 -5.626 1.905
1.319 -4.741 5.690
-1.907 -2.936 5.930
1.888 -11.760 2.369
4.909 -11.090 -0.619
-0.708 -8.634 2.769
1.115 -2.266 2.942
2.934 -8.400 3.406
3.710 -5.392 2.542
5.200 -7.898 1.165
-2.198 -6.128 4.146
-1.327 -9.560 -1.878
-3.208 -6.407 2.346
-5.047 -10.385 1.801
3.221 -2.169 2.770
6.210 -7.619 2.965
3.244 -7.257 1.653
-0.242 -6.769 3.658
0.347 -8.082 -1.461
-0.218 -11.857 2.541
4.329 -4.466 7.189
8.050 -3.641 3.510
5.201 -5.838 3.950
-1.641 -6.059 0.796
2.655 -5.944 6.772
4.643 -7.967 4.515
-2.199 -8.188 1.361
-1.660 -0.368 1.642
-1.909 -4.753 -0.979
-5.229 -5.489 2.305
-3.628 -0.804 3.588

=====

11.
meta-GGA SCAN CuP4S3Br, PBEsol geometry; energy above the lowest structure with this stoichiometry = 0.000 eV per atom; uncorrected formation energy = -5.8 kcal/mol of atoms; DOS at the Fermi energy = 0.0 states/eV/cell; energy = -11.94 eV per atom; crystal system = triclinic
1.0
-2.348 -5.014 -2.908
8.610 0.843 -2.942
2.905 -6.642 13.842
S P Br Cu
12 16 4 4
Cartesian
2.181 -2.255 0.574
8.208 -4.997 7.656
2.208 -4.261 5.361
7.254 -2.509 3.260
0.960 -5.816 0.336
5.079 -5.705 5.708
-0.924 -4.168 -1.767
1.914 -8.304 4.732
6.960 -6.553 2.631
6.987 -8.558 7.418
4.089 -5.109 2.284
10.092 -6.646 9.759
4.913 -7.054 2.416
9.994 -4.802 8.755
0.988 -4.079 -2.585
1.864 -5.636 6.898
5.295 -4.154 0.861
3.309 -4.953 8.472
4.255 -3.760 5.576
3.873 -6.660 7.131
6.834 -5.611 9.114
5.306 -9.620 8.067
-0.826 -6.011 -0.763
2.334 -5.202 -1.122
7.304 -5.177 1.094
5.859 -5.861 -0.480
8.180 -6.735 10.577
3.861 -1.193 -0.076
1.889 -8.368 9.039
7.279 -2.445 -1.047
4.748 -7.063 11.114
4.420 -3.750 -3.122
0.931 -10.174 7.770
4.107 -9.006 9.830
5.061 -1.807 -1.838
8.237 -0.640 0.222

=====

12.
meta-GGA SCAN Cu6PS5Br, PBEsol geometry; uncorrected formation energy = -7.1 kcal/mol of atoms; energy = -13.32 eV per atom; crystal system = trigonal
1.0
6.719 0.009 0.006
3.353 5.823 0.006
3.352 1.941 11.063
Cu Br S P
12 2 10 2
Cartesian
6.795 6.814 9.825
7.617 1.530 4.293
10.005 5.410 9.826
3.630 3.893 6.774
6.255 3.070 9.821
7.997 5.013 4.294
5.585 3.390 1.244
7.397 4.126 6.775
3.507 0.239 1.242
8.684 1.453 6.774
3.908 5.837 1.243
4.101 2.926 4.290
5.450 5.094 4.125
8.807 3.160 9.656
5.567 3.146 7.627
3.824 2.291 2.095
7.204 2.093 2.100
5.446 5.096 10.379
8.804 7.037 10.876
7.078 6.175 7.632
5.455 1.216 4.847
8.811 3.161 5.344
8.693 5.090 2.102
10.419 5.975 7.633
8.807 7.040 6.921
8.814 3.162 1.390

=====

13.
meta-GGA SCAN Cu2PbBr, PBEsol geometry; energy above the lowest structure with this stoichiometry = 0.047 eV per atom; uncorrected formation energy = 3.1 kcal/mol of atoms; DOS at the Fermi energy = 1.0 states/eV/cell; energy = -31.27 eV per atom; crystal system = trigonal
1.0
3.533 0.000 0.000
1.766 3.060 0.000
1.766 1.020 7.105
Cu Br Pb
2 1 1
Cartesian
1.766 1.020 1.691
5.299 3.060 5.414
0.000 0.000 0.000
3.533 2.040 3.552

=====

14.
meta-GGA SCAN Cu2PbBr, PBEsol geometry; energy above the lowest structure with this stoichiometry = 0.407 eV per atom; uncorrected formation energy = 11.4 kcal/mol of atoms; DOS at the Fermi energy = 1.9 states/eV/cell; energy = -30.91 eV per atom; crystal system = tetragonal
1.0
3.204 0.000 0.000
0.000 4.853 0.000
0.000 0.000 4.853
Br Pb Cu
1 1 2
Cartesian
1.602 0.000 0.000
1.602 2.427 2.427
0.000 0.000 2.427
0.000 2.427 0.000

=====

15.
meta-GGA SCAN CuPb2Br, PBEsol geometry; uncorrected formation energy = -1.5 kcal/mol of atoms; DOS at the Fermi energy = 1.3 states/eV/cell; energy = -46.62 eV per atom; crystal system = monoclinic
1.0
3.819 0.000 0.000
-1.910 3.303 -0.043
0.000 -2.113 8.093
Cu Br Pb
1 1 2
Cartesian
1.910 0.000 0.000
0.000 -1.056 4.046
1.910 0.069 6.401
0.000 1.121 1.649

=====

16.
meta-GGA SCAN Cu2PbBr, PBEsol geometry; energy above the lowest structure with this stoichiometry = 0.000 eV per atom; uncorrected formation energy = 2.1 kcal/mol of atoms; DOS at the Fermi energy = 1.1 states/eV/cell; energy = -31.32 eV per atom; crystal system = monoclinic
1.0
-0.759 -0.267 -3.358
-1.603 -3.398 0.633
-5.816 2.943 1.067
Cu Pb Br
2 1 1
Cartesian
-0.172 0.087 0.031
-2.240 -0.972 0.579
-2.772 1.077 -1.238
-6.282 0.423 -2.174

=====

17.
meta-GGA SCAN CuPbSeBr2, PBEsol geometry; uncorrected formation energy = -6.2 kcal/mol of atoms; DOS at the Fermi energy = 1.5 states/eV/cell; energy = -30.26 eV per atom; crystal system = tetragonal
1.0
4.865 0.000 0.000
0.000 4.865 0.000
0.000 0.000 4.990
Br Cu Se Pb
2 1 1 1
Cartesian
2.433 0.000 0.000
0.000 2.433 0.000
0.000 0.000 0.000
0.000 0.000 2.495
2.433 2.433 2.495

=====

18.
meta-GGA SCAN CuSiPd2Br, PBEsol geometry; uncorrected formation energy = 6.1 kcal/mol of atoms; DOS at the Fermi energy = 2.9 states/eV/cell; energy = -21.78 eV per atom; crystal system = tetragonal
1.0
4.412 0.000 0.000
0.000 4.568 0.000
0.000 0.000 4.568
Pd Si Br Cu
2 1 1 1
Cartesian
0.000 2.284 0.000
0.000 0.000 2.284
0.000 0.000 0.000
2.206 2.284 2.284
2.206 0.000 0.000

=====

19.
meta-GGA SCAN Cu2PtBr, PBEsol geometry; energy above the lowest structure with this stoichiometry = 0.183 eV per atom; uncorrected formation energy = 7.1 kcal/mol of atoms; DOS at the Fermi energy = 2.2 states/eV/cell; energy = -29.71 eV per atom; crystal system = tetragonal
1.0
3.130 0.000 0.000
0.000 3.130 0.000
0.000 0.000 6.208
Br Cu Pt
1 2 1
Cartesian
1.565 1.565 4.878
0.000 0.000 0.200
1.565 1.565 1.470
0.000 0.000 2.764

=====

20.
meta-GGA SCAN CuPtBr, PBEsol geometry; uncorrected formation energy = 13.4 kcal/mol of atoms; DOS at the Fermi energy = 2.2 states/eV/cell; energy = -34.37 eV per atom; crystal system = cubic
1.0
-1.425 -3.869 -1.142
1.503 -3.496 1.955
-2.521 -2.219 2.650
Pt Cu Br
1 1 1
Cartesian
-0.611 -2.396 0.866
-1.222 -4.792 1.731
0.000 0.000 0.000

=====

21.
meta-GGA SCAN CuPt2Br, PBEsol geometry; energy above the lowest structure with this stoichiometry = 0.128 eV per atom; uncorrected formation energy = 14.0 kcal/mol of atoms; DOS at the Fermi energy = 3.1 states/eV/cell; energy = -43.15 eV per atom; crystal system = orthorhombic
1.0
-2.485 -0.845 -1.163
2.243 -3.200 -2.467
-0.457 -1.067 5.297
Pt Br Cu
2 1 1
Cartesian
-1.529 -1.954 1.145
-0.692 -5.077 1.627
-0.121 -2.024 -1.813
0.824 -3.192 0.561

=====

22.
meta-GGA SCAN Cu2PtBr, PBEsol geometry; energy above the lowest structure with this stoichiometry = 0.000 eV per atom; uncorrected formation energy = 2.9 kcal/mol of atoms; DOS at the Fermi energy = 3.1 states/eV/cell; energy = -29.89 eV per atom; crystal system = orthorhombic
1.0
3.182 0.000 0.000
0.000 2.991 0.033
0.000 -0.075 6.703
Pt Cu Br
1 2 1
Cartesian
1.591 -0.038 3.351
0.000 1.473 1.985
0.000 1.442 4.751
1.591 1.495 0.017

=====

23.
meta-GGA SCAN Cu2PtBr, PBEsol geometry; energy above the lowest structure with this stoichiometry = 0.092 eV per atom; uncorrected formation energy = 5.0 kcal/mol of atoms; DOS at the Fermi energy = 2.3 states/eV/cell; energy = -29.80 eV per atom; crystal system = trigonal
1.0
3.152 0.000 0.000
1.576 2.730 0.000
1.576 0.910 7.241
Cu Br Pt
2 1 1
Cartesian
1.576 0.910 1.846
4.729 2.730 5.395
0.000 0.000 0.000
3.152 1.820 3.621

=====

24.
meta-GGA SCAN Cu2PtBr, PBEsol geometry; energy above the lowest structure with this stoichiometry = 0.281 eV per atom; uncorrected formation energy = 9.3 kcal/mol of atoms; DOS at the Fermi energy = 1.8 states/eV/cell; energy = -29.61 eV per atom; crystal system = trigonal
1.0
-2.138 1.764 -0.319
-2.289 -0.816 -1.372
-5.118 -2.679 7.295
Cu Pt Br
2 1 1
Cartesian
-5.021 -2.600 7.087
-7.228 -1.356 4.354
-4.942 -1.005 3.168
-2.243 -0.315 1.092

=====

25.
meta-GGA SCAN Cu2PtBr, PBEsol geometry; energy above the lowest structure with this stoichiometry = 0.247 eV per atom; uncorrected formation energy = 8.6 kcal/mol of atoms; DOS at the Fermi energy = 2.3 states/eV/cell; energy = -29.64 eV per atom; crystal system = orthorhombic
1.0
-0.859 -0.491 -2.787
2.887 -2.998 -0.361
-3.401 -3.474 1.659
Cu Pt Br
2 1 1
Cartesian
0.000 0.000 0.000
-0.686 -3.482 -0.745
1.014 -1.745 -1.574
-1.700 -1.737 0.830